## P
! Ta2CrSb, optimized geometry, DFT PBE-GGA; values from VASP
! space-group type = Pm, No. 6
! magnetization = 0.00 μB per atom
&SYSTEM
  ibrav = 0, nat = 4, ntyp = 3
/
ATOMIC_SPECIES
Ta 180.95 Ta.upf
Cr 52.00 Cr.upf
Sb 121.76 Sb.upf
CELL_PARAMETERS angstrom
3.073 0.000 0.000
0.000 4.430 0.000
-1.121 0.000 5.237
ATOMIC_POSITIONS crystal
Ta 0.000 0.000 0.000
Ta 0.280 0.500 0.733
Cr 0.713 0.500 0.175
Sb 0.682 0.000 0.467

***

## Q
! Ta2CrSb, optimized geometry, DFT PBE-GGA; values from VASP
! space-group type = Pmmm, No. 47
! magnetization = 0.46 μB per atom
&SYSTEM
  ibrav = 0, nat = 4, ntyp = 3
/
ATOMIC_SPECIES
Ta 180.95 Ta.upf
Cr 52.00 Cr.upf
Sb 121.76 Sb.upf
CELL_PARAMETERS angstrom
3.645 0.000 0.000
0.000 4.345 0.000
0.000 0.000 4.433
ATOMIC_POSITIONS crystal
Ta 0.000 0.000 0.000
Ta 0.500 0.500 0.000
Cr 0.000 0.500 0.500
Sb 0.500 0.000 0.500

***

Which structure wins on stability? Q wins.

***

## P
! Ta2CrSb, optimized geometry, DFT PBE-GGA; values from VASP
! space-group type = I-42d, No. 122
! magnetization = 0.65 μB per atom
&SYSTEM
  ibrav = 0, nat = 8, ntyp = 3
/
ATOMIC_SPECIES
Ta 180.95 Ta.upf
Cr 52.00 Cr.upf
Sb 121.76 Sb.upf
CELL_PARAMETERS angstrom
-1.974 1.974 10.054
1.974 -1.974 10.054
1.974 1.974 -10.054
ATOMIC_POSITIONS crystal
Ta 0.123 0.625 0.998
Ta 0.375 0.373 0.498
Ta 0.627 0.125 0.002
Ta 0.875 0.877 0.502
Cr 0.000 0.000 0.000
Cr 0.750 0.250 0.500
Sb 0.250 0.750 0.500
Sb 0.500 0.500 0.000

***

## Q
! Ta2CrSb, optimized geometry, DFT PBE-GGA; values from VASP
! space-group type = P4/mmm, No. 123
! magnetization = 0.00 μB per atom
&SYSTEM
  ibrav = 0, nat = 4, ntyp = 3
/
ATOMIC_SPECIES
Ta 180.95 Ta.upf
Cr 52.00 Cr.upf
Sb 121.76 Sb.upf
CELL_PARAMETERS angstrom
3.078 0.000 0.000
0.000 3.078 0.000
0.000 0.000 7.637
ATOMIC_POSITIONS crystal
Ta 0.000 0.000 0.198
Ta 0.000 0.000 0.802
Cr 0.500 0.500 0.000
Sb 0.500 0.500 0.500

***

Which structure wins on stability? Q wins.

***

## P
! Ta2CrSb, optimized geometry, DFT PBE-GGA; values from VASP
! space-group type = Fm-3m, No. 225
! magnetization = 0.00 μB per atom
&SYSTEM
  ibrav = 0, nat = 4, ntyp = 3
/
ATOMIC_SPECIES
Ta 180.95 Ta.upf
Cr 52.00 Cr.upf
Sb 121.76 Sb.upf
CELL_PARAMETERS angstrom
0.000 3.261 3.261
3.261 0.000 3.261
3.261 3.261 0.000
ATOMIC_POSITIONS crystal
Ta 0.250 0.250 0.250
Ta 0.750 0.750 0.750
Cr 0.000 0.000 0.000
Sb 0.500 0.500 0.500

***

## Q
! Ta2CrSb, optimized geometry, DFT PBE-GGA; values from VASP
! space-group type = I-4m2, No. 119
! magnetization = 0.35 μB per atom
&SYSTEM
  ibrav = 0, nat = 4, ntyp = 3
/
ATOMIC_SPECIES
Ta 180.95 Ta.upf
Cr 52.00 Cr.upf
Sb 121.76 Sb.upf
CELL_PARAMETERS angstrom
-2.005 2.005 4.383
2.005 -2.005 4.383
2.005 2.005 -4.383
ATOMIC_POSITIONS crystal
Ta 0.000 0.000 0.000
Ta 0.750 0.250 0.500
Cr 0.250 0.750 0.500
Sb 0.500 0.500 0.000

***

## R
! Ta2CrSb, optimized geometry, DFT PBE-GGA; values from VASP
! space-group type = P4mm, No. 99
! magnetization = 0.50 μB per atom
&SYSTEM
  ibrav = 0, nat = 4, ntyp = 3
/
ATOMIC_SPECIES
Ta 180.95 Ta.upf
Cr 52.00 Cr.upf
Sb 121.76 Sb.upf
CELL_PARAMETERS angstrom
3.449 0.000 0.000
0.000 3.449 0.000
0.000 0.000 6.007
ATOMIC_POSITIONS crystal
Ta 0.000 0.000 0.000
Ta 0.500 0.500 0.254
Cr 0.000 0.000 0.485
Sb 0.500 0.500 0.740

***

Which structure wins on stability? R wins.

***

## P
! Ta2CrSb, optimized geometry, DFT PBE-GGA; values from VASP
! space-group type = R-3m, No. 166
! magnetization = 0.00 μB per atom
&SYSTEM
  ibrav = 0, nat = 4, ntyp = 3
/
ATOMIC_SPECIES
Ta 180.95 Ta.upf
Cr 52.00 Cr.upf
Sb 121.76 Sb.upf
CELL_PARAMETERS angstrom
1.571 0.907 8.535
-1.571 0.907 8.535
0.000 -1.814 8.535
ATOMIC_POSITIONS crystal
Ta 0.238 0.238 0.238
Ta 0.762 0.762 0.762
Cr 0.500 0.500 0.500
Sb 0.000 0.000 0.000

***

## Q
! Ta2CrSb, optimized geometry, DFT PBE-GGA; values from VASP
! space-group type = Cmm2, No. 35
! magnetization = 0.12 μB per atom
&SYSTEM
  ibrav = 0, nat = 4, ntyp = 3
/
ATOMIC_SPECIES
Ta 180.95 Ta.upf
Cr 52.00 Cr.upf
Sb 121.76 Sb.upf
CELL_PARAMETERS angstrom
1.716 -2.448 0.000
1.716 2.448 0.000
0.000 0.000 8.509
ATOMIC_POSITIONS crystal
Ta 0.000 0.000 0.000
Ta 0.500 0.500 0.265
Cr 0.500 0.500 0.775
Sb 0.000 0.000 0.537

***

Which structure wins on stability? Q wins.

***

## P
! CrTcSb3, optimized geometry, DFT PBE-GGA; values from VASP
! space-group type = Pm-3m, No. 221
! magnetization = 0.96 μB per atom
&SYSTEM
  ibrav = 0, nat = 5, ntyp = 3
/
ATOMIC_SPECIES
Cr 52.00 Cr.upf
Tc 98.00 Tc.upf
Sb 121.76 Sb.upf
CELL_PARAMETERS angstrom
5.019 0.000 0.000
0.000 5.019 0.000
0.000 0.000 5.019
ATOMIC_POSITIONS crystal
Cr 0.000 0.000 0.000
Tc 0.500 0.500 0.500
Sb 0.000 0.000 0.500
Sb 0.000 0.500 0.000
Sb 0.500 0.000 0.000

***

## Q
! CrTcSb3, optimized geometry, DFT PBE-GGA; values from VASP
! space-group type = Pm-3m, No. 221
! magnetization = 0.02 μB per atom
&SYSTEM
  ibrav = 0, nat = 5, ntyp = 3
/
ATOMIC_SPECIES
Cr 52.00 Cr.upf
Tc 98.00 Tc.upf
Sb 121.76 Sb.upf
CELL_PARAMETERS angstrom
5.127 0.000 0.000
0.000 5.127 0.000
0.000 0.000 5.127
ATOMIC_POSITIONS crystal
Cr 0.000 0.000 0.000
Tc 0.500 0.500 0.500
Sb 0.000 0.500 0.500
Sb 0.500 0.000 0.500
Sb 0.500 0.500 0.000

***

Which structure wins on stability? P wins.

***

## P
! CrTcSb, optimized geometry, DFT PBE-GGA; values from VASP
! space-group type = P3m1, No. 156
! magnetization = 0.01 μB per atom
&SYSTEM
  ibrav = 0, nat = 3, ntyp = 3
/
ATOMIC_SPECIES
Cr 52.00 Cr.upf
Tc 98.00 Tc.upf
Sb 121.76 Sb.upf
CELL_PARAMETERS angstrom
4.305 0.000 0.000
-2.153 3.728 0.000
0.000 0.000 2.967
ATOMIC_POSITIONS crystal
Cr 0.000 0.000 0.000
Tc 0.667 0.333 0.621
Sb 0.333 0.667 0.178

***

## Q
! CrTcSb, optimized geometry, DFT PBE-GGA; values from VASP
! space-group type = F-43m, No. 216
! magnetization = 0.12 μB per atom
&SYSTEM
  ibrav = 0, nat = 3, ntyp = 3
/
ATOMIC_SPECIES
Cr 52.00 Cr.upf
Tc 98.00 Tc.upf
Sb 121.76 Sb.upf
CELL_PARAMETERS angstrom
0.000 2.973 2.973
2.973 0.000 2.973
2.973 2.973 0.000
ATOMIC_POSITIONS crystal
Cr 0.000 0.000 0.000
Tc 0.750 0.750 0.750
Sb 0.250 0.250 0.250

***

Which structure wins on stability? Q wins.

***

## P
! CrTcSb, optimized geometry, DFT PBE-GGA; values from VASP
! space-group type = I4mm, No. 107
! magnetization = 0.00 μB per atom
&SYSTEM
  ibrav = 0, nat = 3, ntyp = 3
/
ATOMIC_SPECIES
Cr 52.00 Cr.upf
Tc 98.00 Tc.upf
Sb 121.76 Sb.upf
CELL_PARAMETERS angstrom
-1.503 1.503 5.327
1.503 -1.503 5.327
1.503 1.503 -5.327
ATOMIC_POSITIONS crystal
Cr 0.000 0.000 0.000
Tc 0.370 0.370 0.000
Sb 0.677 0.677 0.000

***

## Q
! CrTcSb, optimized geometry, DFT PBE-GGA; values from VASP
! space-group type = P3m1, No. 156
! magnetization = 0.00 μB per atom
&SYSTEM
  ibrav = 0, nat = 3, ntyp = 3
/
ATOMIC_SPECIES
Cr 52.00 Cr.upf
Tc 98.00 Tc.upf
Sb 121.76 Sb.upf
CELL_PARAMETERS angstrom
3.048 0.000 0.000
-1.524 2.640 0.000
0.000 0.000 6.252
ATOMIC_POSITIONS crystal
Cr 0.000 0.000 0.000
Tc 0.333 0.667 0.736
Sb 0.667 0.333 0.356

***

## R
! CrTcSb, optimized geometry, DFT PBE-GGA; values from VASP
! space-group type = Imm2, No. 44
! magnetization = 0.61 μB per atom
&SYSTEM
  ibrav = 0, nat = 3, ntyp = 3
/
ATOMIC_SPECIES
Cr 52.00 Cr.upf
Tc 98.00 Tc.upf
Sb 121.76 Sb.upf
CELL_PARAMETERS angstrom
-1.539 1.907 4.132
1.539 -1.907 4.132
1.539 1.907 -4.132
ATOMIC_POSITIONS crystal
Cr 0.000 0.000 0.000
Tc 0.345 0.345 0.000
Sb 0.673 0.673 0.000

***

Which structure wins on stability? R wins.

***

## P
! Cr3TcSb, optimized geometry, DFT PBE-GGA; values from VASP
! space-group type = Pm-3m, No. 221
! magnetization = 1.81 μB per atom
&SYSTEM
  ibrav = 0, nat = 5, ntyp = 3
/
ATOMIC_SPECIES
Cr 52.00 Cr.upf
Tc 98.00 Tc.upf
Sb 121.76 Sb.upf
CELL_PARAMETERS angstrom
4.693 0.000 0.000
0.000 4.693 0.000
0.000 0.000 4.693
ATOMIC_POSITIONS crystal
Cr 0.000 0.000 0.500
Cr 0.000 0.500 0.000
Cr 0.500 0.000 0.000
Tc 0.000 0.000 0.000
Sb 0.500 0.500 0.500

***

## Q
! Cr3TcSb, optimized geometry, DFT PBE-GGA; values from VASP
! space-group type = Pm-3m, No. 221
! magnetization = 0.00 μB per atom
&SYSTEM
  ibrav = 0, nat = 5, ntyp = 3
/
ATOMIC_SPECIES
Cr 52.00 Cr.upf
Tc 98.00 Tc.upf
Sb 121.76 Sb.upf
CELL_PARAMETERS angstrom
4.558 0.000 0.000
0.000 4.558 0.000
0.000 0.000 4.558
ATOMIC_POSITIONS crystal
Cr 0.000 0.000 0.500
Cr 0.000 0.500 0.000
Cr 0.500 0.000 0.000
Tc 0.500 0.500 0.500
Sb 0.000 0.000 0.000

***

Which structure wins on stability? P wins.

***

## P
! CrTcSb2Te, optimized geometry, DFT PBE-GGA; values from VASP
! space-group type = P4/mmm, No. 123
! magnetization = 0.78 μB per atom
&SYSTEM
  ibrav = 0, nat = 5, ntyp = 4
/
ATOMIC_SPECIES
Cr 52.00 Cr.upf
Tc 98.00 Tc.upf
Sb 121.76 Sb.upf
Te 127.60 Te.upf
CELL_PARAMETERS angstrom
5.024 0.000 0.000
0.000 5.024 0.000
0.000 0.000 5.733
ATOMIC_POSITIONS crystal
Cr 0.000 0.000 0.000
Tc 0.500 0.500 0.500
Sb 0.000 0.500 0.500
Sb 0.500 0.000 0.500
Te 0.500 0.500 0.000

***

## Q
! CrTcSb2Te, optimized geometry, DFT PBE-GGA; values from VASP
! space-group type = P4/mmm, No. 123
! magnetization = 1.12 μB per atom
&SYSTEM
  ibrav = 0, nat = 5, ntyp = 4
/
ATOMIC_SPECIES
Cr 52.00 Cr.upf
Tc 98.00 Tc.upf
Sb 121.76 Sb.upf
Te 127.60 Te.upf
CELL_PARAMETERS angstrom
4.996 0.000 0.000
0.000 4.996 0.000
0.000 0.000 5.309
ATOMIC_POSITIONS crystal
Cr 0.000 0.000 0.000
Tc 0.500 0.500 0.500
Sb 0.000 0.500 0.000
Sb 0.500 0.000 0.000
Te 0.000 0.000 0.500

***

Which structure wins on stability? P wins.

***

## P
! CrSbTe2, optimized geometry, DFT PBE-GGA; values from VASP
! space-group type = P4mm, No. 99
! magnetization = 0.26 μB per atom
&SYSTEM
  ibrav = 0, nat = 4, ntyp = 3
/
ATOMIC_SPECIES
Cr 52.00 Cr.upf
Sb 121.76 Sb.upf
Te 127.60 Te.upf
CELL_PARAMETERS angstrom
3.142 0.000 0.000
0.000 3.142 0.000
0.000 0.000 10.694
ATOMIC_POSITIONS crystal
Cr 0.000 0.000 0.000
Sb 0.500 0.500 0.174
Te 0.000 0.000 0.518
Te 0.500 0.500 0.856

***

## Q
! CrSbTe2, optimized geometry, DFT PBE-GGA; values from VASP
! space-group type = R3m, No. 160
! magnetization = 0.00 μB per atom
&SYSTEM
  ibrav = 0, nat = 4, ntyp = 3
/
ATOMIC_SPECIES
Cr 52.00 Cr.upf
Sb 121.76 Sb.upf
Te 127.60 Te.upf
CELL_PARAMETERS angstrom
1.738 1.003 9.365
-1.738 1.003 9.365
0.000 -2.007 9.365
ATOMIC_POSITIONS crystal
Cr 0.000 0.000 0.000
Sb 0.730 0.730 0.730
Te 0.274 0.274 0.274
Te 0.485 0.485 0.485

***

Which structure wins on stability? P wins.

***

## P
! CrSbTe2, optimized geometry, DFT PBE-GGA; values from VASP
! space-group type = Immm, No. 71
! magnetization = 0.86 μB per atom
&SYSTEM
  ibrav = 0, nat = 4, ntyp = 3
/
ATOMIC_SPECIES
Cr 52.00 Cr.upf
Sb 121.76 Sb.upf
Te 127.60 Te.upf
CELL_PARAMETERS angstrom
-1.957 2.359 6.623
1.957 -2.359 6.623
1.957 2.359 -6.623
ATOMIC_POSITIONS crystal
Cr 0.000 0.000 0.000
Sb 0.500 0.500 0.000
Te 0.150 0.650 0.500
Te 0.850 0.350 0.500

***

## Q
! CrSbTe2, optimized geometry, DFT PBE-GGA; values from VASP
! space-group type = R-3m, No. 166
! magnetization = 1.06 μB per atom
&SYSTEM
  ibrav = 0, nat = 4, ntyp = 3
/
ATOMIC_SPECIES
Cr 52.00 Cr.upf
Sb 121.76 Sb.upf
Te 127.60 Te.upf
CELL_PARAMETERS angstrom
1.619 0.935 13.171
-1.619 0.935 13.171
0.000 -1.870 13.171
ATOMIC_POSITIONS crystal
Cr 0.000 0.000 0.000
Sb 0.500 0.500 0.500
Te 0.068 0.068 0.068
Te 0.932 0.932 0.932

***

Which structure wins on stability? P wins.

***

## P
! CrSbTe2, optimized geometry, DFT PBE-GGA; values from VASP
! space-group type = R-3m, No. 166
! magnetization = 0.72 μB per atom
&SYSTEM
  ibrav = 0, nat = 4, ntyp = 3
/
ATOMIC_SPECIES
Cr 52.00 Cr.upf
Sb 121.76 Sb.upf
Te 127.60 Te.upf
CELL_PARAMETERS angstrom
1.910 1.103 9.220
-1.910 1.103 9.220
0.000 -2.206 9.220
ATOMIC_POSITIONS crystal
Cr 0.000 0.000 0.000
Sb 0.500 0.500 0.500
Te 0.389 0.389 0.389
Te 0.611 0.611 0.611

***

## Q
! CrSbTe2, optimized geometry, DFT PBE-GGA; values from VASP
! space-group type = P4/mmm, No. 123
! magnetization = 0.98 μB per atom
&SYSTEM
  ibrav = 0, nat = 4, ntyp = 3
/
ATOMIC_SPECIES
Cr 52.00 Cr.upf
Sb 121.76 Sb.upf
Te 127.60 Te.upf
CELL_PARAMETERS angstrom
5.260 0.000 0.000
0.000 5.260 0.000
0.000 0.000 3.685
ATOMIC_POSITIONS crystal
Cr 0.000 0.000 0.000
Sb 0.500 0.500 0.000
Te 0.000 0.500 0.500
Te 0.500 0.000 0.500

***

## R
! CrSbTe2, optimized geometry, DFT PBE-GGA; values from VASP
! space-group type = Amm2, No. 38
! magnetization = 0.60 μB per atom
&SYSTEM
  ibrav = 0, nat = 4, ntyp = 3
/
ATOMIC_SPECIES
Cr 52.00 Cr.upf
Sb 121.76 Sb.upf
Te 127.60 Te.upf
CELL_PARAMETERS angstrom
4.034 0.000 0.000
0.000 2.584 5.179
0.000 -2.584 5.179
ATOMIC_POSITIONS crystal
Cr 0.000 0.000 0.000
Sb 0.500 0.177 0.177
Te 0.000 0.511 0.511
Te 0.500 0.823 0.823

***

Which structure wins on stability? P wins.